1.
LiErCu | PBE-GGA | relaxed

Computed properties:
M_tot, μB/f.u.: 0.0
Electronic total energy, eV per cell: -8.694

a b c (Å): 4.554 4.554 4.554
angles (deg): 60.00 60.00 60.00
Fractional positions:
Li  0.750  0.750  0.750
Cu  0.250  0.250  0.250
Er  0.000  0.000  0.000



2.
Li2Er2Cu15 | PBE-GGA | relaxed

Computed properties:
M_tot, μB/f.u.: 0.0
Electronic total energy, eV per cell: -71.435

a b c (Å): 6.437 6.437 6.437
angles (deg): 82.50 82.50 82.50
Fractional positions:
Li  0.094  0.094  0.094
Li  0.906  0.906  0.906
Cu  0.000  0.695  0.305
Cu  0.305  0.000  0.695
Cu  0.000  0.500  0.000
Cu  0.345  0.345  0.841
Cu  0.305  0.695  0.000
Cu  0.000  0.305  0.695
Cu  0.000  0.000  0.500
Cu  0.655  0.159  0.655
Cu  0.345  0.841  0.345
Cu  0.695  0.305  0.000
Cu  0.500  0.000  0.000
Cu  0.655  0.655  0.159
Cu  0.159  0.655  0.655
Cu  0.841  0.345  0.345
Cu  0.695  0.000  0.305
Er  0.346  0.346  0.346
Er  0.654  0.654  0.654